[1]
The following is a PBE-GGA calculation of a relaxed structure of SrNd2Cd6, from Alexandria via LeMat-Bulk. Values from VASP.

```
&SYSTEM
  ibrav = 0, nat = 9, ntyp = 3
/
ATOMIC_SPECIES
Sr 87.62 Sr.upf
Nd 144.24 Nd.upf
Cd 112.41 Cd.upf
CELL_PARAMETERS angstrom
8.8515 0.0000 0.0000
-4.4258 7.6656 0.0000
0.0000 0.0000 3.5635
ATOMIC_POSITIONS crystal
Sr 0.0000 0.0000 0.0000
Nd 0.3333 0.6667 0.0000
Nd 0.6667 0.3333 0.0000
Cd 0.0000 0.3360 0.5000
Cd 0.0000 0.6640 0.5000
Cd 0.3360 0.0000 0.5000
Cd 0.3360 0.3360 0.5000
Cd 0.6640 0.0000 0.5000
Cd 0.6640 0.6640 0.5000
```

Results
energy of formation	-329	meV/atom
SG	P6/mmm
V	242	Å³/cell
E	-2.19	eV/atom

***

[2]
The following is a PBE-GGA calculation of a relaxed structure of SrNd2Cd3, from Alexandria via LeMat-Bulk. Values from VASP.

```
&SYSTEM
  ibrav = 0, nat = 6, ntyp = 3
/
ATOMIC_SPECIES
Sr 87.62 Sr.upf
Nd 144.24 Nd.upf
Cd 112.41 Cd.upf
CELL_PARAMETERS angstrom
3.8937 0.0000 0.0000
0.0000 3.8937 0.0000
0.0000 0.0000 11.9358
ATOMIC_POSITIONS crystal
Sr 0.0000 0.0000 0.0000
Nd 0.0000 0.0000 0.3406
Nd 0.0000 0.0000 0.6594
Cd 0.5000 0.5000 0.1845
Cd 0.5000 0.5000 0.5000
Cd 0.5000 0.5000 0.8155
```

Results
energy of formation	-324	meV/atom
SG	P4/mmm
V	181	Å³/cell
E	-2.65	eV/atom

***

[3]
The following is a PBE-GGA calculation of a relaxed structure of Sr4NdCd5, from Alexandria via LeMat-Bulk. Values from VASP.

```
&SYSTEM
  ibrav = 0, nat = 10, ntyp = 3
/
ATOMIC_SPECIES
Sr 87.62 Sr.upf
Nd 144.24 Nd.upf
Cd 112.41 Cd.upf
CELL_PARAMETERS angstrom
4.0007 0.0000 0.0000
0.0000 4.0007 0.0000
0.0000 0.0000 20.1995
ATOMIC_POSITIONS crystal
Sr 0.0000 0.0000 0.1025
Sr 0.0000 0.0000 0.3063
Sr 0.0000 0.0000 0.6937
Sr 0.0000 0.0000 0.8975
Nd 0.0000 0.0000 0.5000
Cd 0.5000 0.5000 0.0000
Cd 0.5000 0.5000 0.2040
Cd 0.5000 0.5000 0.4117
Cd 0.5000 0.5000 0.5883
Cd 0.5000 0.5000 0.7960
```

Results
energy of formation	-326	meV/atom
SG	P4/mmm
V	323	Å³/cell
E	-1.93	eV/atom